Density functional theory data (PBE-GGA) for VCd2Ga after structural relaxation.

Summary:
**Total DFT energy (no corrections)**: -2.989 eV/atom
**Energy of formation from the pure elements**: 0.505 eV/atom
**Total moment**: 2.0 μB/f.u.

Cell lengths 2.8759, 2.8759, 11.4977 Å; angles 82.82, 82.82, 60.00 degrees
Atoms (fractional coordinates):
Cd  0.9163  0.9163  0.2510
Ga  0.5000  0.5000  0.5000
V  0.0000  0.0000  0.0000
Cd  0.0837  0.0837  0.7490